Entry 1:
Material: Nd2Sm4Y
Method: DFT, PBE
State: relaxed

SG   No. 166

Cell: 3.6364 3.6364 20.8573 Å, 85.00 85.00 60.00°
Atoms (fractional coordinates):
Nd (0.4283, 0.4283, 0.7151)
Nd (0.5717, 0.5717, 0.2849)
Sm (0.1430, 0.1430, 0.5709)
Sm (0.2865, 0.2865, 0.1406)
Sm (0.7135, 0.7135, 0.8594)
Sm (0.8570, 0.8570, 0.4291)
Y (0.0000, 0.0000, 0.0000)



Entry 2:
Material: La3PmTl2
Method: DFT, PBE
State: relaxed

SG   No. 72

Cell: 6.8478 6.8444 9.9596 Å, 110.09 110.11 90.00°
Last column: magnetic moment on the atom in μB.
Atoms (fractional coordinates):
La (0.4262, 0.6781, 0.3563)  0.09
La (0.5738, 0.3219, 0.6437)  0.09
La (0.0699, 0.8219, 0.6437)  0.09
La (0.9301, 0.1781, 0.3563)  0.09
La (0.5000, 0.7500, 0.0000)  0.12
La (0.5000, 0.2500, 0.0000)  0.12
Pm (0.0001, 0.2500, 0.0000)  0.16
Pm (0.9999, 0.7500, 0.0000)  0.16
Tl (0.3808, 0.1350, 0.2702)  0.00
Tl (0.6192, 0.8650, 0.7298)  0.00
Tl (0.1106, 0.3650, 0.7298)  0.00
Tl (0.8894, 0.6350, 0.2702)  0.00



no.,polymorph energy (0 for the lowest one) (meV/atom),ΔE_f (kJ per mole of atoms)
1,0,1.1
2,34,-25.7